Model w:
## TcPtRh2 (PBE)

Data for TcPtRh2 after structural relaxation.

Unit cell a=2.7216 b=2.7216 c=7.8611 alpha=90.00 beta=90.00 gamma=90.00
Fractional coordinates of all 4 atoms:
Rh (0.5000, 0.5000, 0.2554)
Rh (0.0000, 0.0000, 0.0051)
Tc (0.0000, 0.0000, 0.4940)
Pt (0.5000, 0.5000, 0.7455)

Values from the calculation:
The space group is P4mm, No. 99. The density of states at the Fermi level comes out at 5.09 states/eV/cell. The volume comes out at 14.6 A^3/atom.

Model x:
## TcPtRh2 (PBE)

Data for TcPtRh2 after structural relaxation.

Unit cell a=4.7617 b=4.7617 c=2.7250 alpha=90.00 beta=90.00 gamma=109.58
Fractional coordinates of all 4 atoms:
Tc (0.5000, 0.0000, 0.5000)
Pt (0.0000, 0.5000, 0.5000)
Rh (0.5000, 0.5000, 0.0000)
Rh (0.0000, 0.0000, 0.0000)

Values from the calculation:
The space group is Cmmm, No. 65. The density of states at the Fermi level comes out at 5.09 states/eV/cell. The volume comes out at 14.6 A^3/atom.

Model y:
## TcPtRh2 (PBE)

Data for TcPtRh2 after structural relaxation.

Unit cell a=9.1215 b=9.1215 c=9.1215 alpha=17.31 beta=17.31 gamma=17.31
Site moments in Bohr magnetons follow the coordinates.
Fractional coordinates of all 4 atoms:
Rh (0.2475, 0.2475, 0.2475)  0.10
Rh (0.9984, 0.9984, 0.9984)  0.57
Pt (0.7516, 0.7516, 0.7516)  0.04
Tc (0.5025, 0.5025, 0.5025)  -0.03

Values from the calculation:
The space group is R3m, No. 160. The density of states at the Fermi level comes out at 4.96 states/eV/cell. The volume comes out at 14.7 A^3/atom.

Model z:
## TcPtRh2 (PBE)

Data for TcPtRh2 after structural relaxation.

Unit cell a=2.7260 b=2.7260 c=7.8449 alpha=90.00 beta=90.00 gamma=90.00
Fractional coordinates of all 4 atoms:
Rh (0.0000, 0.0000, 0.4885)
Rh (0.0000, 0.0000, 0.0115)
Pt (0.5000, 0.5000, 0.7500)
Tc (0.5000, 0.5000, 0.2500)

Values from the calculation:
The space group is P4/mmm, No. 123. The density of states at the Fermi level comes out at 4.02 states/eV/cell. The volume comes out at 14.6 A^3/atom.

Which of them is the most stable? Correct choice: model z.

Model w:
## TcPtRh2 (PBE)

Data for TcPtRh2 after structural relaxation.

Unit cell a=4.7542 b=4.7542 c=4.7511 alpha=131.95 beta=131.95 gamma=70.37
Fractional coordinates of all 4 atoms:
Rh (0.0000, 0.0000, 0.0000)
Rh (0.5000, 0.5000, 0.0000)
Tc (0.7500, 0.2500, 0.5000)
Pt (0.2500, 0.7500, 0.5000)

Values from the calculation:
The space group is Fmmm, No. 69. The density of states at the Fermi level comes out at 5.97 states/eV/cell. The volume comes out at 14.5 A^3/atom.

Model x:
## TcPtRh2 (PBE)

Data for TcPtRh2 after structural relaxation.

Unit cell a=4.7784 b=4.7784 c=4.7752 alpha=132.48 beta=132.47 gamma=69.54
Fractional coordinates of all 4 atoms:
Rh (0.7500, 0.2500, 0.5000)
Rh (0.0000, 0.0000, 0.0000)
Tc (0.5000, 0.5000, 0.0000)
Pt (0.2500, 0.7500, 0.5000)

Values from the calculation:
The space group is F222, No. 22. The density of states at the Fermi level comes out at 6.38 states/eV/cell. The volume comes out at 14.5 A^3/atom.

Which of them is the most stable? Correct choice: model w.

Model w:
## Tc2Pt2Rh5 (PBE)

Data for Tc2Pt2Rh5 after structural relaxation.

Unit cell a=3.8783 b=6.1300 c=6.1035 alpha=107.45 beta=90.00 gamma=108.44
Fractional coordinates of all 9 atoms:
Tc (0.5578, 0.1156, 0.3373)
Tc (0.4422, 0.8844, 0.6627)
Rh (0.6649, 0.3298, 0.0030)
Rh (0.2170, 0.4340, 0.3365)
Rh (0.0000, 0.0000, 0.0000)
Rh (0.3351, 0.6702, 0.9970)
Rh (0.7830, 0.5660, 0.6635)
Pt (0.8915, 0.7830, 0.3322)
Pt (0.1085, 0.2170, 0.6678)

Values from the calculation:
The space group is C2/m, No. 12. The density of states at the Fermi level comes out at 9.24 states/eV/cell. The volume comes out at 14.5 A^3/atom.

Model x:
## Tc2Pt2Rh5 (PBE)

Data for Tc2Pt2Rh5 after structural relaxation.

Unit cell a=4.7319 b=6.1463 c=6.7055 alpha=136.94 beta=89.90 gamma=97.53
Fractional coordinates of all 9 atoms:
Rh (0.2270, 0.3387, 0.8939)
Rh (0.0000, 0.0000, 0.0000)
Rh (0.1131, 0.6524, 0.4399)
Rh (0.8869, 0.3476, 0.5601)
Rh (0.7730, 0.6613, 0.1061)
Tc (0.4419, 0.6555, 0.7694)
Tc (0.5581, 0.3445, 0.2306)
Pt (0.6700, 0.0000, 0.6704)
Pt (0.3300, 0.0000, 0.3296)

Values from the calculation:
The space group is P-1, No. 2. The density of states at the Fermi level comes out at 9.84 states/eV/cell. The volume comes out at 14.5 A^3/atom.

Which of them is the most stable? Correct choice: model w.

Model w:
## Tc2Pt7Rh2 (PBE)

Data for Tc2Pt7Rh2 after structural relaxation.

Unit cell a=6.0538 b=6.0136 c=6.0136 alpha=106.89 beta=99.21 gamma=99.21
Fractional coordinates of all 11 atoms:
Pt (0.6733, 0.6548, 0.6548)
Pt (0.3267, 0.3452, 0.3452)
Pt (0.8224, 0.0780, 0.5969)
Pt (0.1776, 0.9220, 0.4031)
Pt (0.1776, 0.4031, 0.9220)
Pt (0.8224, 0.5969, 0.0780)
Pt (0.0000, 0.0000, 0.0000)
Tc (0.1042, 0.6550, 0.6550)
Tc (0.8958, 0.3450, 0.3450)
Rh (0.5000, 0.7357, 0.2643)
Rh (0.5000, 0.2643, 0.7357)

Values from the calculation:
The space group is C2/m, No. 12. The density of states at the Fermi level comes out at 17.08 states/eV/cell. The volume comes out at 18.3 A^3/atom.

Model x:
## Tc2Pt7Rh2 (PBE)

Data for Tc2Pt7Rh2 after structural relaxation.

Unit cell a=5.1297 b=6.6779 c=5.1297 alpha=97.11 beta=93.51 gamma=97.11
Fractional coordinates of all 11 atoms:
Pt (0.4529, 0.7890, 0.0813)
Pt (0.0813, 0.7890, 0.4529)
Pt (0.0000, 0.0000, 0.0000)
Pt (0.5471, 0.2110, 0.9187)
Pt (0.9187, 0.2110, 0.5471)
Pt (0.3964, 0.1503, 0.3964)
Pt (0.6036, 0.8497, 0.6036)
Tc (0.3240, 0.5000, 0.6760)
Tc (0.6760, 0.5000, 0.3240)
Rh (0.1540, 0.4168, 0.1540)
Rh (0.8460, 0.5832, 0.8460)

Values from the calculation:
The space group is C2/m, No. 12. The density of states at the Fermi level comes out at 10.99 states/eV/cell. The volume comes out at 15.7 A^3/atom.

Which of them is the most stable? Correct choice: model x.

Model w:
## Tc2PtRh (PBE)

Data for Tc2PtRh after structural relaxation.

Unit cell a=2.7078 b=3.9871 c=5.4234 alpha=90.00 beta=90.00 gamma=90.00
Fractional coordinates of all 4 atoms:
Tc (0.0000, 0.0000, 0.9839)
Tc (0.0000, 0.0000, 0.5161)
Pt (0.5000, 0.5000, 0.2500)
Rh (0.5000, 0.5000, 0.7500)

Values from the calculation:
The space group is Pmmm, No. 47. The density of states at the Fermi level comes out at 3.82 states/eV/cell. The volume comes out at 14.6 A^3/atom.

Model x:
## Tc2PtRh (PBE)

Data for Tc2PtRh after structural relaxation.

Unit cell a=5.5319 b=5.5220 c=8.1408 alpha=90.27 beta=70.21 gamma=90.77
Fractional coordinates of all 16 atoms:
Pt (0.9401, 0.1263, 0.8713)
Pt (0.8143, 0.8713, 0.6208)
Pt (0.1857, 0.1287, 0.3792)
Pt (0.0599, 0.8737, 0.1287)
Rh (0.6831, 0.6224, 0.3809)
Rh (0.3169, 0.3776, 0.6191)
Rh (0.5617, 0.3772, 0.1304)
Rh (0.4383, 0.6228, 0.8696)
Tc (0.1974, 0.6244, 0.3660)
Tc (0.3165, 0.8758, 0.6298)
Tc (0.8026, 0.3756, 0.6340)
Tc (0.0687, 0.3796, 0.1189)
Tc (0.4371, 0.1295, 0.8771)
Tc (0.9313, 0.6204, 0.8811)
Tc (0.6835, 0.1242, 0.3702)
Tc (0.5629, 0.8705, 0.1229)

Values from the calculation:
The space group is P-1, No. 2. The density of states at the Fermi level comes out at 14.02 states/eV/cell. The volume comes out at 14.6 A^3/atom.

Which of them is the most stable? Correct choice: model x.